# Ba2NaSr2Ca

A relaxed structure of Ba2NaSr2Ca (PBE, the Alexandria database).

Properties
- D(E_F): 15.1 states/eV per cell
- Total magnetization: 0.0 μB per formula unit
- Symmetry: No. 26
- Formation energy from the elements: 0.058 eV/atom

a = 6.4440 Å, b = 8.1943 Å, c = 12.0149 Å
α = 90.00°, β = 90.00°, γ = 90.00°
Last column: nearest neighbours and their distance in Å.
Positions (direct):
Ba 0.0000 0.8355 0.8409  1 Ca 4.05, 5 Sr 4.11-4.32, 4 Ba 4.16-4.39
Ba 0.5000 0.0602 0.9975  1 Na 4.01, 6 Ba 4.10-4.39, 3 Sr 4.41-4.43
Ba 0.0000 0.3355 0.1591  1 Ca 4.05, 5 Sr 4.11-4.32, 4 Ba 4.16-4.39
Ba 0.5000 0.5602 0.0025  1 Na 4.01, 6 Ba 4.10-4.39, 3 Sr 4.41-4.43
Sr 0.5000 0.6713 0.6438  3 Na 3.78-4.18, 2 Ca 4.08, 2 Ba 4.22
Sr 0.0000 0.3378 0.7997  2 Na 3.85, 1 Ca 3.99, 2 Ba 4.11-4.15
Sr 0.0000 0.8378 0.2003  2 Na 3.85, 1 Ca 3.99, 2 Ba 4.11-4.15
Sr 0.5000 0.1713 0.3562  3 Na 3.78-4.18, 2 Ca 4.08, 2 Ba 4.22
Na 0.5000 0.6624 0.3289  5 Sr 3.78-4.18, 2 Ca 4.00, 1 Ba 4.01
Na 0.5000 0.1624 0.6711  5 Sr 3.78-4.18, 2 Ca 4.00, 1 Ba 4.01
Ca 0.0000 0.4785 0.4814  5 Sr 3.99-4.36, 2 Na 4.00, 1 Ba 4.05, 2 Ca 4.12
Ca 0.0000 0.9785 0.5186  5 Sr 3.99-4.36, 2 Na 4.00, 1 Ba 4.05, 2 Ca 4.12